K3DyB2O6: relaxed, GGA-PBE.

abc: 5.573 5.573 6.916
angles: 90.00 90.00 120.00
Fractional coordinates of all 12 atoms:
B (0.333, 0.667, 0.300)
O (0.189, 0.378, 0.301)
O (0.378, 0.189, 0.699)
B (0.667, 0.333, 0.700)
K (0.000, 0.000, 0.000)
O (0.622, 0.811, 0.301)
K (0.667, 0.333, 0.260)
O (0.811, 0.189, 0.699)
Dy (0.000, 0.000, 0.500)
K (0.333, 0.667, 0.740)
O (0.189, 0.811, 0.301)
O (0.811, 0.622, 0.699)

- volume (Å³ per atom) = 15.5
- total magnetic moment (μB/atom) = 0.000
- space-group type = P-3m1 (164)
- DFT total energy (eV per atom) = -6.745



ZnHg2Sb: relaxed, GGA-PBE.

abc: 9.561 9.561 9.561
angles: 20.84 20.84 20.84
Fractional coordinates of all 4 atoms:
Hg (0.255, 0.255, 0.255)
Sb (0.489, 0.489, 0.489)
Zn (0.747, 0.747, 0.747)
Hg (0.010, 0.010, 0.010)

- volume (Å³ per atom) = 24.2
- total magnetic moment (μB/atom) = 0.000
- space-group type = R3m (160)
- DFT total energy (eV per atom) = -1.390



LiGaMoIr: relaxed, GGA-PBE.

abc: 4.328 4.328 4.328
angles: 60.00 60.00 60.00
Fractional coordinates of all 4 atoms:
Li (0.500, 0.500, 0.500)
Mo (0.000, 0.000, 0.000)
Ir (0.750, 0.750, 0.750)
Ga (0.250, 0.250, 0.250)

- volume (Å³ per atom) = 14.3
- total magnetic moment (μB/atom) = 0.001
- space-group type = F-43m (216)
- DFT total energy (eV per atom) = -6.345
- formation energy (eV/f.u.) = -0.7



Pm2DyErSb4: relaxed, GGA-PBE.

abc: 4.435 7.677 7.669
angles: 109.50 90.00 90.00
Fractional coordinates of all 8 atoms:
Er (0.000, 0.000, 0.000)
Sb (0.000, 0.252, 0.758)
Pm (0.500, 0.000, 0.500)
Dy (0.500, 0.500, 0.000)
Sb (0.000, 0.748, 0.242)
Pm (0.000, 0.500, 0.500)
Sb (0.500, 0.754, 0.759)
Sb (0.500, 0.246, 0.241)

- volume (Å³ per atom) = 30.8
- total magnetic moment (μB/atom) = 0.000
- space-group type = P2/m (10)
- DFT total energy (eV per atom) = -5.542



Be2InPb: relaxed, GGA-PBE.

abc: 4.960 4.960 3.247
angles: 80.66 80.66 95.12
Fractional coordinates of all 4 atoms:
Be (0.500, 0.500, 0.000)
Be (0.000, 0.000, 0.000)
In (0.500, 0.000, 0.500)
Pb (0.000, 0.500, 0.500)

- volume (Å³ per atom) = 19.3
- total magnetic moment (μB/atom) = 0.000
- space-group type = C2/m (12)
- DFT total energy (eV per atom) = -2.738
- formation energy (eV/f.u.) = 2.9



As2Pb: relaxed, GGA-PBE.

abc: 5.198 5.198 6.117
angles: 90.00 90.00 120.00
Fractional coordinates of all 6 atoms:
As (0.667, 0.333, 0.750)
As (0.000, 0.000, 0.500)
As (0.000, 0.000, 0.000)
Pb (0.333, 0.667, 0.750)
As (0.333, 0.667, 0.250)
Pb (0.667, 0.333, 0.250)

- volume (Å³ per atom) = 23.9
- total magnetic moment (μB/atom) = 0.000
- space-group type = P6_3/mmc (194)
- DFT total energy (eV per atom) = -3.963
- formation energy (eV/f.u.) = 1.1



HfZr3B: relaxed, GGA-PBE.

abc: 4.701 4.701 4.701
angles: 90.00 90.00 90.00
Fractional coordinates of all 5 atoms:
Zr (0.000, 0.000, 0.500)
Hf (0.500, 0.500, 0.500)
B (0.000, 0.000, 0.000)
Zr (0.000, 0.500, 0.000)
Zr (0.500, 0.000, 0.000)

- volume (Å³ per atom) = 20.8
- total magnetic moment (μB/atom) = 0.000
- space-group type = Pm-3m (221)
- DFT total energy (eV per atom) = -8.466
- formation energy (eV/f.u.) = -0.1



In2SeBr: relaxed, GGA-PBE.

abc: 5.555 4.323 10.958
angles: 89.77 90.01 90.00
Fractional coordinates of all 8 atoms:
Br (0.701, 0.543, 0.974)
Se (0.701, 0.137, 0.503)
Br (0.201, 0.045, 0.242)
In (0.701, 0.631, 0.680)
In (0.201, 0.120, 0.958)
In (0.701, 0.623, 0.258)
Se (0.201, 0.635, 0.713)
In (0.201, 0.133, 0.536)

- volume (Å³ per atom) = 32.9
- total magnetic moment (μB/atom) = 0.000
- space-group type = Pm (6)
- DFT total energy (eV per atom) = -3.134